Record 1
Entry from Alexandria: a geometry-optimized AgTe2Br structure (PBE).

```
data_AgTe2Br
_symmetry_space_group_name_H-M 'P 1'
_symmetry_Int_Tables_number 1
_cell_length_a 8.433
_cell_length_b 4.029
_cell_length_c 7.676
_cell_angle_alpha 90.00
_cell_angle_beta 105.67
_cell_angle_gamma 90.00
loop_
_symmetry_equiv_pos_as_xyz
'x,y,z'
loop_
_atom_site_label
_atom_site_type_symbol
_atom_site_fract_x
_atom_site_fract_y
_atom_site_fract_z
_atom_site_occupancy
Ag1 Ag 0.000 0.000 0.000 1
Ag2 Ag 0.500 0.500 0.000 1
Te1 Te 0.021 0.500 0.532 1
Te2 Te 0.326 0.000 0.760 1
Te3 Te 0.521 0.000 0.532 1
Te4 Te 0.826 0.500 0.760 1
Br1 Br 0.195 0.500 0.182 1
Br2 Br 0.695 0.000 0.182 1
```

Values from the calculation:
**Crystal system**: monoclinic
**Total energy**: -2.763 eV/atom
**Volume**: 251.12 Å³ per cell
**N(E_F)**: 3.8 states/eV per cell



Record 2
Entry from Alexandria: a geometry-optimized TiRhI2O structure (PBE).

```
data_TiRhI2O
_symmetry_space_group_name_H-M 'P 1'
_symmetry_Int_Tables_number 1
_cell_length_a 5.630
_cell_length_b 5.630
_cell_length_c 3.733
_cell_angle_alpha 90.00
_cell_angle_beta 90.00
_cell_angle_gamma 90.00
loop_
_symmetry_equiv_pos_as_xyz
'x,y,z'
loop_
_atom_site_label
_atom_site_type_symbol
_atom_site_fract_x
_atom_site_fract_y
_atom_site_fract_z
_atom_site_occupancy
Ti1 Ti 0.000 0.000 0.000 1
Rh1 Rh 0.500 0.500 0.500 1
I1 I 0.000 0.500 0.500 1
I2 I 0.500 0.000 0.500 1
O1 O 0.500 0.500 0.000 1
```

Values from the calculation:
**Crystal system**: tetragonal
**Total energy**: -4.640 eV/atom
**Volume**: 118.34 Å³ per cell
**N(E_F)**: 4.0 states/eV per cell
**Energy above the most stable polymorph in this dataset**: 482 meV/atom



| no. | ΔE_f (raw) (eV per atom) |
| --- | --- |
| 1 | -0.061 |
| 2 | 0.021 |